# 1
The following is a PBE-GGA calculation of an optimized crystal structure of NbFe3P, from Alexandria via LeMat-Bulk.

CIF file:
```
data_NbFe3P
_cell_length_a 4.527
_cell_length_b 4.527
_cell_length_c 4.527
_cell_angle_alpha 90.00
_cell_angle_beta 90.00
_cell_angle_gamma 90.00
_space_group_name_H-M_alt 'P m -3 m'
_space_group_IT_number 221
_space_group_name_Hall '-P 4 2 3'
loop_
_atom_site_label
_atom_site_fract_x
_atom_site_fract_y
_atom_site_fract_z
Nb1 0.000 0.000 0.000
Fe1 0.000 0.000 0.500
P1 0.500 0.500 0.500
```

Values from the calculation:
- Energy above the most stable polymorph in this dataset: 1424.9 meV/atom



# 2
The following is a PBE-GGA calculation of an optimized crystal structure of Nb2FeP, from Alexandria via LeMat-Bulk.

CIF file:
```
data_Nb2FeP
_cell_length_a 6.758
_cell_length_b 6.758
_cell_length_c 5.606
_cell_angle_alpha 90.00
_cell_angle_beta 90.00
_cell_angle_gamma 90.00
_space_group_name_H-M_alt 'I -4 2 d'
_space_group_IT_number 122
_space_group_name_Hall 'I -4 2bw'
loop_
_atom_site_label
_atom_site_fract_x
_atom_site_fract_y
_atom_site_fract_z
Nb1 0.241 0.250 0.125
Fe1 0.000 0.000 0.500
P1 0.000 0.000 0.000
```



# 3
The following is a PBE-GGA calculation of an optimized crystal structure of NbFeP, from Alexandria via LeMat-Bulk.

CIF file:
```
data_NbFeP
_cell_length_a 6.155
_cell_length_b 3.597
_cell_length_c 6.967
_cell_angle_alpha 90.00
_cell_angle_beta 90.00
_cell_angle_gamma 90.00
_space_group_name_H-M_alt 'P n m a'
_space_group_IT_number 62
loop_
_space_group_symop_operation_xyz
'x,y,z'
'-x,-y,-z'
'-x+1/2,-y,z+1/2'
'x+1/2,y,-z+1/2'
'x+1/2,-y+1/2,-z+1/2'
'-x+1/2,y+1/2,z+1/2'
'-x,y+1/2,-z'
'x,-y+1/2,z'
loop_
_atom_site_label
_atom_site_fract_x
_atom_site_fract_y
_atom_site_fract_z
Nb1 0.022 0.250 0.176
Fe1 0.141 0.250 0.562
P1 0.222 0.750 0.381
```



Sequential energy output: -6.483, -8.470, -8.870 eV/atom
Sequential ΔE_f output: 1.691, 0.033, -0.889 eV per atom